# 1
Density functional theory data (PBE) for a geometry-optimized CuHgSb2 structure.

a b c (Å): 5.330 5.330 3.354
angles (deg): 90.00 90.00 103.87
Atoms (fractional coordinates):
1 Cu 0.000 0.000 0.000
2 Hg 0.500 0.500 0.000
3 Sb 0.000 0.500 0.500
4 Sb 0.500 0.000 0.500

Results
**Total energy**: -11.22 eV/cell
**Symmetry**: No. 65
**D(E_F)**: 0.501 states/eV per atom
**Uncorrected formation energy**: 0.355 eV per atom


# 2
Density functional theory data (PBE) for a geometry-optimized CuHg2Sb structure.

a b c (Å): 8.758 8.758 8.758
angles (deg): 23.46 23.46 23.46
Atoms (fractional coordinates):
1 Cu 0.000 0.000 0.000
2 Hg 0.499 0.499 0.499
3 Hg 0.739 0.739 0.739
4 Sb 0.268 0.268 0.268

Results
**Total energy**: -8.23 eV/cell
**Symmetry**: No. 160
**D(E_F)**: 0.373 states/eV per atom
**Uncorrected formation energy**: 0.149 eV per atom


# 3
Density functional theory data (PBE) for a geometry-optimized CuHgSb2 structure.

a b c (Å): 4.256 5.019 5.019
angles (deg): 67.94 90.00 90.00
Atoms (fractional coordinates):
1 Cu 0.000 0.000 0.000
2 Hg 0.500 0.221 0.221
3 Sb 0.000 0.536 0.536
4 Sb 0.500 0.789 0.789

Results
**Total energy**: -11.92 eV/cell
**Symmetry**: No. 38
**D(E_F)**: 0.309 states/eV per atom
**Uncorrected formation energy**: 0.181 eV per atom


# 4
Density functional theory data (PBE) for a geometry-optimized CuHg2Sb structure.

a b c (Å): 5.893 5.893 5.893
angles (deg): 138.48 138.48 60.16
Atoms (fractional coordinates):
1 Cu 0.000 0.000 0.000
2 Hg 0.250 0.750 0.500
3 Hg 0.750 0.250 0.500
4 Sb 0.500 0.500 0.000

Results
**Total energy**: -7.58 eV/cell
**Symmetry**: No. 139
**D(E_F)**: 0.669 states/eV per atom
**Uncorrected formation energy**: 0.310 eV per atom


# 5
Density functional theory data (PBE) for a geometry-optimized CuHgSb2 structure.

a b c (Å): 3.356 3.356 9.029
angles (deg): 90.00 90.00 105.33
Atoms (fractional coordinates):
1 Cu 0.000 0.000 0.000
2 Hg 0.000 0.000 0.500
3 Sb 0.500 0.500 0.189
4 Sb 0.500 0.500 0.811

Results
**Total energy**: -12.04 eV/cell
**Symmetry**: No. 65
**D(E_F)**: 0.508 states/eV per atom
**Uncorrected formation energy**: 0.151 eV per atom


# 6
Density functional theory data (PBE) for a geometry-optimized CuHgSb2 structure.

a b c (Å): 6.663 6.663 6.663
angles (deg): 151.44 137.72 51.82
Atoms (fractional coordinates):
1 Cu 0.000 0.000 0.000
2 Hg 0.500 0.500 0.000
3 Sb 0.182 0.682 0.500
4 Sb 0.818 0.318 0.500

Results
**Total energy**: -11.94 eV/cell
**Symmetry**: No. 71
**D(E_F)**: 0.392 states/eV per atom
**Uncorrected formation energy**: 0.175 eV per atom


# 7
Density functional theory data (PBE) for a geometry-optimized Cu2Hg2Sb structure.

a b c (Å): 7.028 7.028 7.028
angles (deg): 147.06 147.06 47.27
Atoms (fractional coordinates):
1 Cu 0.092 0.092 0.000
2 Cu 0.908 0.908 0.000
3 Hg 0.250 0.750 0.500
4 Hg 0.750 0.250 0.500
5 Sb 0.500 0.500 0.000

Results
**Distance to the lowest polymorph of the same formula**: 7.70 kJ per mole of atoms
**Total energy**: -11.42 eV/cell
**Symmetry**: No. 139
**D(E_F)**: 0.503 states/eV per atom
**Uncorrected formation energy**: 0.300 eV per atom


# 8
Density functional theory data (PBE) for a geometry-optimized Cu2Hg2Sb structure.

a b c (Å): 8.119 8.119 2.976
angles (deg): 90.00 90.00 90.00
Atoms (fractional coordinates):
1 Cu 0.160 0.340 0.000
2 Cu 0.340 0.840 0.000
3 Cu 0.660 0.160 0.000
4 Cu 0.840 0.660 0.000
5 Hg 0.137 0.637 0.500
6 Hg 0.363 0.137 0.500
7 Hg 0.637 0.863 0.500
8 Hg 0.863 0.363 0.500
9 Sb 0.000 0.000 0.500
10 Sb 0.500 0.500 0.500

Results
**Distance to the lowest polymorph of the same formula**: 5.70 kJ per mole of atoms
**Total energy**: -23.04 eV/cell
**Symmetry**: No. 127
**D(E_F)**: 0.350 states/eV per atom
**Uncorrected formation energy**: 0.279 eV per atom


# 9
Density functional theory data (PBE) for a geometry-optimized Cu2HgSb2 structure.

a b c (Å): 7.131 7.131 3.968
angles (deg): 90.00 90.00 90.00
Atoms (fractional coordinates):
1 Cu 0.125 0.375 0.000
2 Cu 0.375 0.875 0.000
3 Cu 0.625 0.125 0.000
4 Cu 0.875 0.625 0.000
5 Hg 0.000 0.000 0.000
6 Hg 0.500 0.500 0.000
7 Sb 0.169 0.669 0.500
8 Sb 0.331 0.169 0.500
9 Sb 0.669 0.831 0.500
10 Sb 0.831 0.331 0.500

Results
**Distance to the lowest polymorph of the same formula**: 0.78 kJ per mole of atoms
**Total energy**: -31.51 eV/cell
**Symmetry**: No. 127
**D(E_F)**: 0.473 states/eV per atom
**Uncorrected formation energy**: 0.197 eV per atom


# 10
Density functional theory data (PBE) for a geometry-optimized CuHgSb structure.

a b c (Å): 4.210 5.208 6.326
angles (deg): 77.53 76.61 86.99
Atoms (fractional coordinates):
1 Cu 0.000 0.000 0.000
2 Cu 0.494 0.688 0.092
3 Hg 0.385 0.146 0.262
4 Hg 0.612 0.065 0.684
5 Sb 0.059 0.525 0.861
6 Sb 0.916 0.604 0.386

Results
**Total energy**: -16.27 eV/cell
**Symmetry**: No. 1
**D(E_F)**: 0.285 states/eV per atom
**Uncorrected formation energy**: 0.128 eV per atom


# 11
Density functional theory data (PBE) for a geometry-optimized CuHg2Sb structure.

a b c (Å): 3.147 3.147 9.495
angles (deg): 90.00 90.00 93.36
Atoms (fractional coordinates):
1 Cu 0.000 0.000 0.000
2 Hg 0.000 0.000 0.511
3 Hg 0.500 0.500 0.800
4 Sb 0.500 0.500 0.183

Results
**Total energy**: -8.18 eV/cell
**Symmetry**: No. 35
**D(E_F)**: 0.450 states/eV per atom
**Uncorrected formation energy**: 0.162 eV per atom


# 12
Density functional theory data (PBE) for a geometry-optimized CuHgSb2 structure.

a b c (Å): 7.041 7.041 7.041
angles (deg): 148.42 146.77 46.49
Atoms (fractional coordinates):
1 Cu 0.000 0.000 0.000
2 Hg 0.218 0.718 0.500
3 Sb 0.531 0.531 0.000
4 Sb 0.853 0.353 0.500

Results
**Total energy**: -11.95 eV/cell
**Symmetry**: No. 44
**D(E_F)**: 0.409 states/eV per atom
**Uncorrected formation energy**: 0.172 eV per atom